Entry 1:
Computed, not measured: crystalline Hf2ZrCd at its relaxed geometry at the PBE-GGA level of DFT.

The structure in CIF format:
```
data_Hf2ZrCd
_cell_length_a 4.227
_cell_length_b 4.227
_cell_length_c 20.901
_cell_angle_alpha 90.00
_cell_angle_beta 90.00
_cell_angle_gamma 90.00
_symmetry_space_group_name_H-M 'I -4 2 d'
_symmetry_Int_Tables_number 122
_symmetry_space_group_name_Hall 'I -4 2bw'
loop_
_atom_site_label
_atom_site_type_symbol
_atom_site_fract_x
_atom_site_fract_y
_atom_site_fract_z
Hf1 Hf 0.246 0.250 0.125
Zr1 Zr 0.000 0.000 0.000
Cd1 Cd 0.000 0.000 0.500
```

## Properties
DOS(E_F) (states/eV/atom): 1.052

Entry 2:
Computed, not measured: crystalline AcPrAg4 at its relaxed geometry at the PBE-GGA level of DFT.

The structure in CIF format:
```
data_AcPrAg4
_cell_length_a 4.860
_cell_length_b 8.423
_cell_length_c 7.584
_cell_angle_alpha 90.00
_cell_angle_beta 90.06
_cell_angle_gamma 90.00
_symmetry_space_group_name_H-M 'C 1 2/m 1'
_symmetry_Int_Tables_number 12
loop_
_symmetry_equiv_pos_as_xyz
'x,y,z'
'-x,-y,-z'
'-x,y,-z'
'x,-y,z'
'x+1/2,y+1/2,z'
'-x+1/2,-y+1/2,-z'
'-x+1/2,y+1/2,-z'
'x+1/2,-y+1/2,z'
loop_
_atom_site_label
_atom_site_type_symbol
_atom_site_fract_x
_atom_site_fract_y
_atom_site_fract_z
Ac1 Ac 0.000 0.000 0.000
Pr1 Pr 0.000 0.000 0.500
Ag1 Ag 0.000 0.334 0.272
```

## Properties
DOS(E_F) (states/eV/atom): 0.834
ΔE to the lowest computed polymorph (eV per atom): 0.0000

| no. | total moment (μB/f.u.) | uncorrected energy (eV per atom) |
| --- | --- | --- |
| 1 | 0.000 | -6.92 |
| 2 | 0.000 | -3.66 |